No. 1
Density functional theory data (PBE) for a geometry-optimized SmAlPdPt structure.

Geometry as CIF:
```
data_SmAlPdPt
_symmetry_space_group_name_H-M 'F -4 3 m'
_symmetry_Int_Tables_number 216
_symmetry_space_group_name_Hall 'F -4 2 3'
_cell_length_a 6.7167
_cell_length_b 6.7167
_cell_length_c 6.7167
_cell_angle_alpha 90.00
_cell_angle_beta 90.00
_cell_angle_gamma 90.00
loop_
_atom_site_label
_atom_site_type_symbol
_atom_site_fract_x
_atom_site_fract_y
_atom_site_fract_z
_atom_site_occupancy
Sm1 Sm 0.0000 0.0000 0.0000 1
Al1 Al 0.0000 0.0000 0.5000 1
Pd1 Pd 0.2500 0.2500 0.2500 1
Pt1 Pt 0.2500 0.2500 0.7500 1
```

Calculated values
Its energy above the most stable polymorph in this dataset is 157 meV/atom. As for the energy relative to the elements: -850 meV per atom.

No. 2
Density functional theory data (PBE) for a geometry-optimized Sc2As2I structure.

Geometry as CIF:
```
data_Sc2As2I
_symmetry_space_group_name_H-M 'P 4/m b m'
_symmetry_Int_Tables_number 127
_symmetry_space_group_name_Hall '-P 4 2ab'
_cell_length_a 7.8501
_cell_length_b 7.8501
_cell_length_c 3.5738
_cell_angle_alpha 90.00
_cell_angle_beta 90.00
_cell_angle_gamma 90.00
loop_
_atom_site_label
_atom_site_type_symbol
_atom_site_fract_x
_atom_site_fract_y
_atom_site_fract_z
_atom_site_occupancy
Sc1 Sc 0.1573 0.3427 0.0000 1
As1 As 0.1320 0.6320 0.5000 1
I1 I 0.0000 0.0000 0.0000 1
```

Calculated values
Its energy above the most stable polymorph in this dataset is 0 meV/atom. For the formation energy without anion corrections, the calculation gives -0.86 eV/atom.

No. 3
Density functional theory data (PBE) for a geometry-optimized Tl2ZnTe structure.

Geometry as CIF:
```
data_Tl2ZnTe
_symmetry_space_group_name_H-M 'R -3 m'
_symmetry_Int_Tables_number 166
_symmetry_space_group_name_Hall '-R 3 2"'
_cell_length_a 3.5946
_cell_length_b 3.5946
_cell_length_c 30.8943
_cell_angle_alpha 90.00
_cell_angle_beta 90.00
_cell_angle_gamma 120.00
loop_
_atom_site_label
_atom_site_type_symbol
_atom_site_fract_x
_atom_site_fract_y
_atom_site_fract_z
_atom_site_occupancy
Tl1 Tl 0.0000 0.0000 0.2444 1
Zn1 Zn 0.0000 0.0000 0.5000 1
Te1 Te 0.0000 0.0000 0.0000 1
```

Calculated values
Its energy above the most stable polymorph in this dataset is 207 meV/atom. For the formation energy without anion corrections, the calculation gives 0.12 eV/atom.